Entry 1:
Y2MgPb5 after structural relaxation. Source: the Alexandria database, functional GGA-PBE.

Unit cell a=4.963 b=6.708 c=13.447 alpha=90.00 beta=90.00 gamma=90.00
Fractional coordinates of all 16 atoms:
Y 0.500 0.289 0.364
Y 0.500 0.789 0.136
Y 0.500 0.211 0.864
Y 0.500 0.711 0.636
Pb 0.500 0.213 0.613
Pb 0.000 0.466 0.758
Pb 0.000 0.534 0.242
Pb 0.000 0.000 0.000
Pb 0.000 0.966 0.742
Pb 0.500 0.787 0.387
Pb 0.500 0.713 0.887
Pb 0.000 0.034 0.258
Pb 0.500 0.287 0.113
Pb 0.000 0.500 0.500
Mg 0.000 0.000 0.500
Mg 0.000 0.500 0.000

Computed properties:
space-group type = No. 55
DFT formation energy = -0.3277 eV/atom
M_tot = 0.00 μB/cell
VASP energy = -71.372 eV/cell

Entry 2:
Y2Mg2Pb after structural relaxation. Source: the Alexandria database, functional GGA-PBE.

Unit cell a=7.507 b=7.507 c=4.865 alpha=90.00 beta=90.00 gamma=90.00
Fractional coordinates of all 10 atoms:
Pb 0.500 0.500 0.000
Pb 0.000 0.000 0.000
Y 0.333 0.167 0.500
Y 0.667 0.833 0.500
Y 0.167 0.667 0.500
Y 0.833 0.333 0.500
Mg 0.368 0.868 0.000
Mg 0.632 0.132 0.000
Mg 0.868 0.632 0.000
Mg 0.132 0.368 0.000

Computed properties:
space-group type = No. 127
DFT formation energy = -0.1853 eV/atom
energy relative to the lowest polymorph listed for this composition = 0 meV per atom
M_tot = 0.00 μB/cell
VASP energy = -41.504 eV/cell

Question: Look up the DFT formation energy of the second one.
Answer: -0.1853 eV/atom

Question: What is the DFT formation energy in the second record?
Answer: -0.1853 eV/atom